No. 1
AsIrOs4 after structural relaxation, computed with GGA-PBE.

* D(E_F): 11.0 states/eV per cell
* theoretical density: 17.537 g/cm³
* VASP energy: -8.67 eV per atom

Cell: 5.1634 5.1634 5.1634 Å, 60.00 60.00 60.00°
With the nearest neighbours (Å) after each atom.
Fractional coordinates of all 6 atoms:
As  0.0000  0.0000  0.0000  12 Os 3.03, 4 Ir 3.16
Ir  0.2500  0.2500  0.2500  12 Os 3.03, 4 As 3.16
Os  0.1279  0.6240  0.6240  6 Os 2.56-2.60
Os  0.6240  0.1279  0.6240  6 Os 2.56-2.60
Os  0.6240  0.6240  0.1279  6 Os 2.56-2.60
Os  0.6240  0.6240  0.6240  6 Os 2.56-2.60

***

No. 2
CaTl2Cd3 after structural relaxation, computed with GGA-PBE.

* D(E_F): 7.6 states/eV per cell
* theoretical density: 8.111 g/cm³
* VASP energy: -1.72 eV per atom

Cell: 6.2401 6.2401 9.1876 Å, 90.89 90.89 115.83°
With the nearest neighbours (Å) after each atom.
Fractional coordinates of all 12 atoms:
Ca  0.1230  0.8770  0.7500  8 Cd 3.34-3.71, 6 Tl 3.35-3.51
Ca  0.8770  0.1230  0.2500  8 Cd 3.34-3.71, 6 Tl 3.35-3.51
Tl  0.0351  0.3274  0.6120  1 Tl 3.16, 6 Cd 3.21-3.48, 3 Ca 3.35-3.51
Tl  0.3274  0.0351  0.1120  1 Tl 3.16, 6 Cd 3.21-3.48, 3 Ca 3.35-3.51
Tl  0.6726  0.9649  0.8880  1 Tl 3.16, 6 Cd 3.21-3.48, 3 Ca 3.35-3.51
Tl  0.9649  0.6726  0.3880  1 Tl 3.16, 6 Cd 3.21-3.48, 3 Ca 3.35-3.51
Cd  0.1881  0.4237  0.9507  3 Cd 3.03-3.10, 3 Tl 3.21-3.28
Cd  0.4191  0.5809  0.2500  4 Cd 3.03-3.10, 2 Ca 3.34, 2 Tl 3.39
Cd  0.4237  0.1881  0.4507  3 Cd 3.03-3.10, 3 Tl 3.21-3.28
Cd  0.5763  0.8119  0.5493  3 Cd 3.03-3.10, 3 Tl 3.21-3.28
Cd  0.5809  0.4191  0.7500  4 Cd 3.03-3.10, 2 Ca 3.34, 2 Tl 3.39
Cd  0.8119  0.5763  0.0493  3 Cd 3.03-3.10, 3 Tl 3.21-3.28

***

Q: Which ΔH_f (0 K) values were calculated for the entries above? A: 1.068; -0.137, in eV per atom.